# 1
! HfCoSeBr2 | Alexandria | PBE | optimized geometry; values from VASP
&SYSTEM
  ibrav = 0, nat = 5, ntyp = 4
/
ATOMIC_SPECIES
Hf 178.49 Hf.upf
Br 79.90 Br.upf
Co 58.93 Co.upf
Se 78.96 Se.upf
CELL_PARAMETERS angstrom
-3.815 2.641 -0.564
-2.557 -3.847 -0.715
-0.897 -0.284 4.738
ATOMIC_POSITIONS angstrom
Hf -3.635 -0.745 1.730
Br -1.908 1.321 -0.282
Br -1.279 -1.923 -0.358
Co 0.000 0.000 0.000
Se -0.449 -0.142 2.369
! **N(E_F)**: 5.92 states/eV per cell
! **Formation energy (no corrections)**: 0.29 eV/atom
! **Total energy**: -22.43 eV for the cell shown

***

# 2
! HfCoSeBr2 | Alexandria | PBE | optimized geometry; values from VASP
&SYSTEM
  ibrav = 0, nat = 5, ntyp = 4
/
ATOMIC_SPECIES
Br 79.90 Br.upf
Co 58.93 Co.upf
Se 78.96 Se.upf
Hf 178.49 Hf.upf
CELL_PARAMETERS angstrom
-3.890 2.866 2.188
-1.752 -4.207 2.395
3.121 1.065 4.154
ATOMIC_POSITIONS angstrom
Br 1.560 0.533 2.077
Br -1.945 1.433 1.094
Co -1.261 -0.138 4.368
Se -0.876 -2.103 1.197
Hf 0.000 0.000 0.000
! **N(E_F)**: 9.42 states/eV per cell
! **Formation energy (no corrections)**: 0.08 eV/atom
! **Total energy**: -23.48 eV for the cell shown

***

# 3
! Y2HfCoBr | Alexandria | PBE | optimized geometry; values from VASP
&SYSTEM
  ibrav = 0, nat = 5, ntyp = 4
/
ATOMIC_SPECIES
Co 58.93 Co.upf
Y 88.91 Y.upf
Hf 178.49 Hf.upf
Br 79.90 Br.upf
CELL_PARAMETERS angstrom
-4.252 -2.515 3.065
-2.254 -0.700 -3.700
2.609 -5.159 -0.614
ATOMIC_POSITIONS angstrom
Co -1.127 -0.350 -1.850
Y 1.305 -2.580 -0.307
Hf 0.000 0.000 0.000
Y -2.126 -1.258 1.533
Br -1.948 -4.187 -0.624
! **N(E_F)**: 5.56 states/eV per cell
! **Formation energy (no corrections)**: 0.54 eV/atom
! **Total energy**: -28.95 eV for the cell shown

***

# 4
! YHfCoBr2 | Alexandria | PBE | optimized geometry; values from VASP
&SYSTEM
  ibrav = 0, nat = 5, ntyp = 4
/
ATOMIC_SPECIES
Co 58.93 Co.upf
Y 88.91 Y.upf
Br 79.90 Br.upf
Hf 178.49 Hf.upf
CELL_PARAMETERS angstrom
-3.012 1.198 3.602
-2.757 -4.099 -0.942
2.712 -2.539 3.112
ATOMIC_POSITIONS angstrom
Co 0.000 0.000 0.000
Y -1.378 -2.049 -0.471
Br -1.506 0.599 1.801
Br 1.356 -1.270 1.556
Hf -1.529 -2.720 2.886
! **N(E_F)**: 5.74 states/eV per cell
! **Formation energy (no corrections)**: 0.50 eV/atom
! **Total energy**: -24.38 eV for the cell shown

***

# 5
! CoHgBr2 | Alexandria | PBE | optimized geometry; values from VASP
&SYSTEM
  ibrav = 0, nat = 4, ntyp = 3
/
ATOMIC_SPECIES
Co 58.93 Co.upf
Br 79.90 Br.upf
Hg 200.59 Hg.upf
CELL_PARAMETERS angstrom
-2.504 -1.736 -1.211
0.240 -2.097 2.510
-6.366 5.534 5.232
ATOMIC_POSITIONS angstrom
Co -2.724 -0.533 1.957
Br -0.574 0.499 0.472
Hg -5.907 2.234 4.574
Br -2.609 2.268 2.144
! **N(E_F)**: 0.92 states/eV per cell
! **Formation energy (no corrections)**: 0.10 eV/atom
! **Total energy**: -10.34 eV for the cell shown

***

# 6
! CoHgBr2 | Alexandria | PBE | optimized geometry; values from VASP
&SYSTEM
  ibrav = 0, nat = 4, ntyp = 3
/
ATOMIC_SPECIES
Br 79.90 Br.upf
Hg 200.59 Hg.upf
Co 58.93 Co.upf
CELL_PARAMETERS angstrom
7.662 0.448 0.000
5.326 5.526 0.000
-6.494 -2.987 2.794
ATOMIC_POSITIONS angstrom
Br 2.663 2.763 1.397
Hg 3.831 0.224 1.397
Br 0.000 0.000 0.000
Co 6.494 2.987 0.000
! **N(E_F)**: 6.33 states/eV per cell
! **Formation energy (no corrections)**: 0.41 eV/atom
! **Total energy**: -9.10 eV for the cell shown

***

# 7
! CoHg2Br8 | Alexandria | PBE | optimized geometry; values from VASP
&SYSTEM
  ibrav = 0, nat = 11, ntyp = 3
/
ATOMIC_SPECIES
Hg 200.59 Hg.upf
Br 79.90 Br.upf
Co 58.93 Co.upf
CELL_PARAMETERS angstrom
-6.385 0.927 2.146
1.610 -6.160 -3.321
3.250 -0.952 10.080
ATOMIC_POSITIONS angstrom
Hg -1.913 -2.005 5.946
Br -2.723 -3.625 4.236
Br -4.961 -0.865 2.058
Br -1.598 -1.353 0.928
Br 1.198 -2.560 4.669
Br -0.456 -5.464 1.004
Br 0.073 -4.832 7.977
Hg 0.388 -4.180 2.959
Co 0.000 0.000 0.000
Br -1.069 -0.721 7.901
Br 3.436 -5.320 6.847
! **N(E_F)**: 4.85 states/eV per cell
! **Formation energy (no corrections)**: -0.25 eV/atom
! **Total energy**: -23.87 eV for the cell shown

***

# 8
! CoHgBr2 | Alexandria | PBE | optimized geometry; values from VASP
&SYSTEM
  ibrav = 0, nat = 4, ntyp = 3
/
ATOMIC_SPECIES
Co 58.93 Co.upf
Br 79.90 Br.upf
Hg 200.59 Hg.upf
CELL_PARAMETERS angstrom
-2.856 -3.730 -2.062
2.237 -3.756 -2.685
0.212 -4.752 1.922
ATOMIC_POSITIONS angstrom
Co -0.204 -6.119 -1.413
Br -0.102 -3.060 -0.706
Hg -0.305 -9.179 -2.119
Br 0.000 0.000 0.000
! **N(E_F)**: 4.84 states/eV per cell
! **Formation energy (no corrections)**: 0.67 eV/atom
! **Total energy**: -8.07 eV for the cell shown

***

# 9
! CoHgBr2 | Alexandria | PBE | optimized geometry; values from VASP
&SYSTEM
  ibrav = 0, nat = 8, ntyp = 3
/
ATOMIC_SPECIES
Br 79.90 Br.upf
Hg 200.59 Hg.upf
Co 58.93 Co.upf
CELL_PARAMETERS angstrom
-2.107 -3.285 -6.414
2.550 -6.590 2.537
-4.081 -5.874 -0.046
ATOMIC_POSITIONS angstrom
Br -2.994 -12.216 -3.746
Br 0.045 -6.412 -0.036
Br -1.753 -3.931 -2.895
Hg 0.000 0.000 0.000
Co -0.654 -8.701 0.277
Br -2.573 -8.939 -1.168
Co 0.222 -4.938 -1.939
Hg -2.983 -7.048 -4.199
! **N(E_F)**: 0.81 states/eV per cell
! **Formation energy (no corrections)**: -0.11 eV/atom
! **Total energy**: -22.43 eV for the cell shown

***

# 10
! CoHgBr2 | Alexandria | PBE | optimized geometry; values from VASP
&SYSTEM
  ibrav = 0, nat = 4, ntyp = 3
/
ATOMIC_SPECIES
Br 79.90 Br.upf
Hg 200.59 Hg.upf
Co 58.93 Co.upf
CELL_PARAMETERS angstrom
3.645 0.000 0.000
0.000 5.606 0.019
0.000 2.012 6.020
ATOMIC_POSITIONS angstrom
Br 1.823 2.750 1.946
Hg 1.823 5.272 4.379
Br 0.000 2.037 5.339
Co 0.000 3.381 3.417
! **N(E_F)**: 3.37 states/eV per cell
! **Formation energy (no corrections)**: -0.08 eV/atom
! **Total energy**: -11.08 eV for the cell shown

***

# 11
! Co2HgBr2 | Alexandria | PBE | optimized geometry; values from VASP
&SYSTEM
  ibrav = 0, nat = 10, ntyp = 3
/
ATOMIC_SPECIES
Co 58.93 Co.upf
Hg 200.59 Hg.upf
Br 79.90 Br.upf
CELL_PARAMETERS angstrom
8.282 0.000 0.000
0.000 8.282 0.000
0.000 0.000 3.238
ATOMIC_POSITIONS angstrom
Co 2.417 1.724 1.619
Hg 0.000 0.000 0.000
Br 7.139 5.284 0.000
Br 1.143 2.998 0.000
Co 6.558 2.417 1.619
Co 5.865 6.558 1.619
Br 2.998 7.139 0.000
Hg 4.141 4.141 0.000
Br 5.284 1.143 0.000
Co 1.724 5.865 1.619
! **N(E_F)**: 7.01 states/eV per cell
! **Formation energy (no corrections)**: 0.68 eV/atom
! **Total energy**: -28.87 eV for the cell shown

***

# 12
! CoHg4Br | Alexandria | PBE | optimized geometry; values from VASP
&SYSTEM
  ibrav = 0, nat = 6, ntyp = 3
/
ATOMIC_SPECIES
Hg 200.59 Hg.upf
Br 79.90 Br.upf
Co 58.93 Co.upf
CELL_PARAMETERS angstrom
0.000 4.269 4.269
4.269 0.000 4.269
4.269 4.269 0.000
ATOMIC_POSITIONS angstrom
Hg 5.340 5.340 3.197
Hg 3.197 5.340 5.340
Hg 5.340 3.197 5.340
Br 6.403 6.403 6.403
Hg 3.197 3.197 3.197
Co 0.000 0.000 0.000
! **N(E_F)**: 5.96 states/eV per cell
! **Formation energy (no corrections)**: 0.57 eV/atom
! **Total energy**: -6.54 eV for the cell shown

***

# 13
! CoHgBr2 | Alexandria | PBE | optimized geometry; values from VASP
&SYSTEM
  ibrav = 0, nat = 4, ntyp = 3
/
ATOMIC_SPECIES
Co 58.93 Co.upf
Br 79.90 Br.upf
Hg 200.59 Hg.upf
CELL_PARAMETERS angstrom
-0.479 -4.349 -5.752
1.819 -1.083 5.362
-2.610 -2.016 2.051
ATOMIC_POSITIONS angstrom
Co -0.396 -1.549 3.706
Br -1.545 -3.182 -1.851
Hg 0.670 -2.716 -0.195
Br 0.000 0.000 0.000
! **N(E_F)**: 2.29 states/eV per cell
! **Formation energy (no corrections)**: 0.37 eV/atom
! **Total energy**: -9.26 eV for the cell shown

***

# 14
! CoHgBr2 | Alexandria | PBE | optimized geometry; values from VASP
&SYSTEM
  ibrav = 0, nat = 4, ntyp = 3
/
ATOMIC_SPECIES
Br 79.90 Br.upf
Hg 200.59 Hg.upf
Co 58.93 Co.upf
CELL_PARAMETERS angstrom
2.078 0.000 10.298
-1.039 1.799 10.298
-1.039 -1.799 10.298
ATOMIC_POSITIONS angstrom
Br 0.000 0.000 27.099
Hg 0.000 0.000 0.000
Co 0.000 0.000 15.447
Br 0.000 0.000 3.794
! **N(E_F)**: 5.66 states/eV per cell
! **Formation energy (no corrections)**: -0.12 eV/atom
! **Total energy**: -11.24 eV for the cell shown

***

# 15
! CoHgBr | Alexandria | PBE | optimized geometry; values from VASP
&SYSTEM
  ibrav = 0, nat = 3, ntyp = 3
/
ATOMIC_SPECIES
Br 79.90 Br.upf
Co 58.93 Co.upf
Hg 200.59 Hg.upf
CELL_PARAMETERS angstrom
-5.766 1.559 -3.316
-6.681 0.949 1.066
6.596 0.941 1.508
ATOMIC_POSITIONS angstrom
Br -11.829 2.384 -2.138
Co -4.332 0.873 -0.783
Hg -8.731 1.760 -1.578
! **N(E_F)**: 2.33 states/eV per cell
! **Formation energy (no corrections)**: 0.35 eV/atom
! **Total energy**: -8.02 eV for the cell shown

***

# 16
! CoHgBr2 | Alexandria | PBE | optimized geometry; values from VASP
&SYSTEM
  ibrav = 0, nat = 4, ntyp = 3
/
ATOMIC_SPECIES
Hg 200.59 Hg.upf
Br 79.90 Br.upf
Co 58.93 Co.upf
CELL_PARAMETERS angstrom
5.137 0.049 0.000
-0.052 5.137 0.000
0.000 0.000 3.561
ATOMIC_POSITIONS angstrom
Hg -0.026 2.569 1.781
Br 0.000 0.000 0.000
Br 2.542 2.593 0.000
Co 2.569 0.025 1.781
! **N(E_F)**: 7.01 states/eV per cell
! **Formation energy (no corrections)**: 0.53 eV/atom
! **Total energy**: -8.65 eV for the cell shown

***

# 17
! CoHg2Br2 | Alexandria | PBE | optimized geometry; values from VASP
&SYSTEM
  ibrav = 0, nat = 5, ntyp = 3
/
ATOMIC_SPECIES
Br 79.90 Br.upf
Co 58.93 Co.upf
Hg 200.59 Hg.upf
CELL_PARAMETERS angstrom
-3.026 3.026 3.997
3.026 -3.026 3.997
3.026 3.026 -3.997
ATOMIC_POSITIONS angstrom
Br 3.026 0.000 1.999
Co 0.000 0.000 0.000
Hg 0.000 0.000 2.642
Hg 0.000 0.000 5.352
Br 0.000 3.026 1.999
! **N(E_F)**: 7.97 states/eV per cell
! **Formation energy (no corrections)**: 0.44 eV/atom
! **Total energy**: -8.83 eV for the cell shown

***

# 18
! CoHgBr5 | Alexandria | PBE | optimized geometry; values from VASP
&SYSTEM
  ibrav = 0, nat = 28, ntyp = 3
/
ATOMIC_SPECIES
Br 79.90 Br.upf
Hg 200.59 Hg.upf
Co 58.93 Co.upf
CELL_PARAMETERS angstrom
-5.049 -4.665 -3.339
2.033 -6.936 6.615
-11.281 5.557 9.293
ATOMIC_POSITIONS angstrom
Br 1.016 -3.468 3.308
Br -14.996 -0.416 5.994
Br -1.508 -5.800 1.638
Hg -9.162 -2.002 3.531
Br -10.601 -2.090 5.830
Br -3.697 -3.953 6.739
Co -3.665 -9.059 5.079
Br -11.404 -3.609 9.166
Br -5.448 -1.123 9.575
Br -6.458 -2.710 4.576
Co -10.633 3.016 7.490
Br -12.605 1.794 7.576
Br -5.641 2.779 4.646
Br -7.839 -3.333 7.993
Br -8.850 -4.920 2.994
Br -8.937 1.719 6.738
Hg -3.293 -5.557 -0.374
Br 0.699 -5.627 6.574
Co -4.273 -2.217 5.184
Br -1.693 -7.837 4.992
Hg -5.136 -4.041 9.037
Br -5.361 -7.762 5.831
Br -5.278 -3.783 0.148
Br -2.893 -2.435 3.403
Hg -11.004 -0.486 12.943
Br -9.019 -2.260 12.421
Br -8.165 0.446 2.977
Co -10.025 -3.827 7.385
! **N(E_F)**: 21.02 states/eV per cell
! **Formation energy (no corrections)**: -0.22 eV/atom
! **Total energy**: -69.24 eV for the cell shown

***

# 19
! CoHgBr2 | Alexandria | PBE | optimized geometry; values from VASP
&SYSTEM
  ibrav = 0, nat = 4, ntyp = 3
/
ATOMIC_SPECIES
Co 58.93 Co.upf
Hg 200.59 Hg.upf
Br 79.90 Br.upf
CELL_PARAMETERS angstrom
10.198 0.011 0.006
9.529 3.634 0.006
9.529 1.761 3.179
ATOMIC_POSITIONS angstrom
Co 7.314 1.351 0.798
Hg 21.942 4.054 2.394
Br 28.237 5.217 3.081
Br 15.647 2.891 1.707
! **N(E_F)**: 5.12 states/eV per cell
! **Formation energy (no corrections)**: -0.18 eV/atom
! **Total energy**: -11.47 eV for the cell shown

***

# 20
! CoHgBr4 | Alexandria | PBE | optimized geometry; values from VASP
&SYSTEM
  ibrav = 0, nat = 6, ntyp = 3
/
ATOMIC_SPECIES
Br 79.90 Br.upf
Co 58.93 Co.upf
Hg 200.59 Hg.upf
CELL_PARAMETERS angstrom
0.000 4.460 4.460
4.460 0.000 4.460
4.460 4.460 0.000
ATOMIC_POSITIONS angstrom
Br 3.349 3.349 3.349
Br 5.570 5.570 3.349
Br 5.570 3.349 5.570
Br 3.349 5.570 5.570
Co 6.689 6.689 6.689
Hg 0.000 0.000 0.000
! **N(E_F)**: 11.21 states/eV per cell
! **Formation energy (no corrections)**: 0.93 eV/atom
! **Total energy**: -8.52 eV for the cell shown

***

# 21
! CoHgBr2 | Alexandria | PBE | optimized geometry; values from VASP
&SYSTEM
  ibrav = 0, nat = 4, ntyp = 3
/
ATOMIC_SPECIES
Hg 200.59 Hg.upf
Co 58.93 Co.upf
Br 79.90 Br.upf
CELL_PARAMETERS angstrom
-6.771 0.711 -0.205
-2.000 -3.854 -5.248
2.521 0.573 6.302
ATOMIC_POSITIONS angstrom
Hg -4.318 -0.144 1.685
Co -1.933 -2.426 -0.836
Br -0.840 -0.301 -0.522
Br -3.545 -1.271 -2.204
! **N(E_F)**: 5.59 states/eV per cell
! **Formation energy (no corrections)**: -0.06 eV/atom
! **Total energy**: -10.99 eV for the cell shown

***

# 22
! CoHg2Br6 | Alexandria | PBE | optimized geometry; values from VASP
&SYSTEM
  ibrav = 0, nat = 18, ntyp = 3
/
ATOMIC_SPECIES
Br 79.90 Br.upf
Hg 200.59 Hg.upf
Co 58.93 Co.upf
CELL_PARAMETERS angstrom
6.727 0.068 2.297
3.390 9.969 0.219
-0.031 0.086 10.532
ATOMIC_POSITIONS angstrom
Br 7.091 2.378 12.405
Br 2.995 7.746 0.643
Br 3.181 3.894 2.922
Br 3.816 0.435 9.457
Br 4.152 7.958 7.139
Hg 2.582 6.517 8.852
Br 6.270 9.689 3.592
Co 2.400 2.267 8.848
Hg 3.568 1.919 4.773
Co 7.686 7.856 4.200
Br 6.269 5.984 3.771
Br 6.906 6.229 10.126
Br 5.934 2.166 5.910
Br 1.583 2.129 6.609
Br 8.503 7.995 6.439
Hg 6.518 8.205 8.275
Hg 7.504 3.607 4.196
Br 3.817 4.140 9.277
! **Formation energy (no corrections)**: -0.38 eV/atom
! **Total energy**: -42.36 eV for the cell shown